1.
The following is a DFT calculation (GGA-PBEsol) of a relaxed structure of CsK2GaFe.

Cell: 6.375 6.375 4.800 Å, 90.00 90.00 90.00°
Element x y z (fractional)
Cs1 0.000 0.000 0.000
K1 0.000 0.500 0.500
K2 0.500 0.000 0.500
Ga1 0.500 0.500 0.000
Fe1 0.500 0.500 0.500

Summary:
N(E_F) in states/eV per cell: 3.3
Total magnetization in μB/atom: 0.4804
Formation enthalpy at 0 K in eV per formula unit: 2.70

---

2.
The following is a DFT calculation (GGA-PBEsol) of a relaxed structure of Cs2GaFeS4.

Cell: 7.387 12.094 5.663 Å, 90.00 112.11 90.00°
Element x y z (fractional)
Cs1 0.000 0.000 0.000
Cs2 0.000 0.289 0.500
Cs3 0.500 0.500 0.000
Cs4 0.500 0.789 0.500
Ga1 0.000 0.648 0.500
Ga2 0.500 0.148 0.500
Fe1 0.000 0.642 0.000
Fe2 0.500 0.142 0.000
S1 0.185 0.542 0.344
S2 0.186 0.747 0.848
S3 0.314 0.247 0.152
S4 0.315 0.042 0.656
S5 0.685 0.042 0.344
S6 0.686 0.247 0.848
S7 0.814 0.747 0.152
S8 0.815 0.542 0.656

Summary:
N(E_F) in states/eV per cell: 0.4
Total magnetization in μB/atom: 0.6278
E in eV for the cell shown: -77.48

---

3.
The following is a DFT calculation (GGA-PBEsol) of a relaxed structure of CsHfFe2.

Cell: 6.649 6.649 6.649 Å, 90.00 90.00 90.00°
Element x y z (fractional)
Cs1 0.000 0.000 0.000
Cs2 0.000 0.500 0.500
Cs3 0.500 0.000 0.500
Cs4 0.500 0.500 0.000
Hf1 0.000 0.000 0.500
Hf2 0.000 0.500 0.000
Hf3 0.500 0.000 0.000
Hf4 0.500 0.500 0.500
Fe1 0.250 0.250 0.250
Fe2 0.250 0.250 0.750
Fe3 0.250 0.750 0.250
Fe4 0.250 0.750 0.750
Fe5 0.750 0.250 0.250
Fe6 0.750 0.250 0.750
Fe7 0.750 0.750 0.250
Fe8 0.750 0.750 0.750

Summary:
N(E_F) in states/eV per cell: 16.0
Total magnetization in μB/atom: 0.8174
Formation enthalpy at 0 K in eV per formula unit: 5.55

---

4.
The following is a DFT calculation (GGA-PBEsol) of a relaxed structure of CsHf3Fe.

Cell: 5.114 5.114 5.114 Å, 90.00 90.00 90.00°
Element x y z (fractional)
Cs1 0.000 0.000 0.000
Hf1 0.000 0.000 0.500
Hf2 0.000 0.500 0.000
Hf3 0.500 0.000 0.000
Fe1 0.500 0.500 0.500

Summary:
N(E_F) in states/eV per cell: 9.0
Total magnetization in μB/atom: 0.5548
Formation enthalpy at 0 K in eV per formula unit: 13.29

---

Copy entry 4 word for word.
The following is a DFT calculation (GGA-PBEsol) of a relaxed structure of CsHf3Fe.

Cell: 5.114 5.114 5.114 Å, 90.00 90.00 90.00°
Element x y z (fractional)
Cs1 0.000 0.000 0.000
Hf1 0.000 0.000 0.500
Hf2 0.000 0.500 0.000
Hf3 0.500 0.000 0.000
Fe1 0.500 0.500 0.500

Summary:
N(E_F) in states/eV per cell: 9.0
Total magnetization in μB/atom: 0.5548
Formation enthalpy at 0 K in eV per formula unit: 13.29